Entry A
A plane-wave DFT calculation with PBE was carried out for crystalline Ta6Nb3Ru at its relaxed geometry.

Properties
Density of states at the Fermi level   23.55 states/eV/cell
Magnetic moment   0.00 μB/f.u.
ρ   13.72 Mg/m³

abc: 4.657 8.067 9.797
angles: 105.43 90.00 90.00
Atoms (fractional coordinates):
1 Ta 0.250 0.450 0.101
2 Ta 0.750 0.550 0.899
3 Ta 0.250 0.148 0.200
4 Ta 0.750 0.852 0.800
5 Ta 0.250 0.654 0.695
6 Ta 0.750 0.346 0.305
7 Ta 0.250 0.242 0.501
8 Ta 0.750 0.758 0.499
9 Ta 0.250 0.855 0.308
10 Ta 0.750 0.145 0.692
11 Ta 0.250 0.050 0.894
12 Ta 0.750 0.950 0.106
13 Nb 0.250 0.546 0.399
14 Nb 0.750 0.454 0.601
15 Nb 0.250 0.351 0.800
16 Nb 0.750 0.649 0.200
17 Nb 0.250 0.754 0.002
18 Nb 0.750 0.246 0.998
19 Ru 0.250 0.951 0.597
20 Ru 0.750 0.049 0.403

Entry B
A plane-wave DFT calculation with PBE was carried out for crystalline Ta6Nb3Ru at its relaxed geometry.

Properties
Density of states at the Fermi level   15.54 states/eV/cell
Magnetic moment   0.00 μB/f.u.
ρ   11.06 Mg/m³

abc: 6.777 6.777 6.777
angles: 60.00 60.00 60.00
Atoms (fractional coordinates):
1 Ta 0.753 0.753 0.247
2 Ta 0.247 0.753 0.753
3 Ta 0.247 0.753 0.247
4 Ta 0.753 0.247 0.247
5 Ta 0.753 0.247 0.753
6 Ta 0.247 0.247 0.753
7 Nb 0.750 0.750 0.750
8 Nb 0.250 0.250 0.250
9 Nb 0.500 0.500 0.500
10 Ru 0.000 0.000 0.000

The most stable of them is entry A.